This record from Alexandria via LeMat-Bulk describes a relaxed FeSe4Br crystal. The functional is PBE.

Computed properties:
Total DFT energy (no corrections)   -3.255 eV/atom
Energy relative to the elements, uncorrected   0.758 eV/atom
N(E_F)   9.7 states/eV/cell
Magnetization   4.3 μB per cell
Space group   No. 216

POSCAR file:
```
FeSe4Br
1.0
0.0000 4.0380 4.0380
4.0380 0.0000 4.0380
4.0380 4.0380 0.0000
Fe Se Br
1 4 1
direct
0.0000 0.0000 0.0000 Fe
0.1242 0.6253 0.6253 Se
0.6253 0.1242 0.6253 Se
0.6253 0.6253 0.1242 Se
0.6253 0.6253 0.6253 Se
0.2500 0.2500 0.2500 Br
```